# Na2CO4

A relaxed Na2CO4 crystal (GGA-PBE, Alexandria via LeMat-Bulk).

SG = No. 139
Total DFT energy (no corrections) = -5.1783 eV per atom
Relative energy among the computed polymorphs = 4.12 eV/f.u.
Magnetization = 2.00 μB/f.u.
D(E_F) = 0.6332 states/eV/atom

Cell: 4.610 4.610 5.764 Å, 66.43 66.43 90.00°
Last column: magnetic moment on the atom in μB.
Positions (direct):
O: 0.500 0.000 0.000  0.75
O: 0.125 0.125 0.750  0.10
O: 0.875 0.875 0.250  0.10
O: 0.000 0.500 0.000  0.75
C: 0.000 0.000 0.000  -0.02
Na: 0.632 0.632 0.736  -0.01
Na: 0.368 0.368 0.264  -0.01